Entry 1:
A relaxed structure of BaLi2Nd2Sn2, computed with PBE.

Summary:
Space-group type: R-3m
Formation energy in eV per atom: -0.4954

The structure in POSCAR format:
```
BaLi2Nd2Sn2
1.0
5.0043 0.0000 0.0000
2.5021 4.3338 0.0000
2.5021 1.4446 9.9108
Ba Li Nd Sn
1 2 2 2
direct
0.0000 0.0000 0.0000
0.5794 0.5794 0.2619
0.4206 0.4206 0.7381
0.1319 0.1319 0.6042
0.8681 0.8681 0.3958
0.7494 0.7494 0.7518
0.2506 0.2506 0.2482
```

---

Entry 2:
A relaxed structure of CuTe2F, computed with PBE.

Summary:
Energy relative to the lowest polymorph listed for this composition in meV per atom: 44
Formation energy without anion corrections in eV/atom: -0.4469
Space-group type: R-3m

The structure in POSCAR format:
```
CuTe2F
1.0
2.2952 0.0000 7.3099
-1.1476 1.9877 7.3099
-1.1476 -1.9877 7.3099
Te Cu F
2 1 1
direct
0.8945 0.8945 0.8945
0.1055 0.1055 0.1055
0.5000 0.5000 0.5000
0.0000 0.0000 0.0000
```

---

Entry 3:
A relaxed structure of K3Pb3Au2, computed with PBE.

Summary:
Space-group type: Cmcm
Formation energy in eV per atom: -0.1300

The structure in POSCAR format:
```
K3Pb3Au2
1.0
5.4902 0.0000 0.0000
-2.7451 5.9793 0.0000
0.0000 0.0000 16.0060
K Pb Au
6 6 4
direct
0.6686 0.3372 0.0294
0.3314 0.6628 0.5294
0.6686 0.3372 0.4706
0.3314 0.6628 0.9706
0.4955 0.9910 0.2500
0.5045 0.0090 0.7500
0.9831 0.9662 0.0948
0.0169 0.0338 0.5948
0.9831 0.9662 0.4052
0.0169 0.0338 0.9052
0.7952 0.5904 0.2500
0.2048 0.4096 0.7500
0.7985 0.5970 0.6632
0.2015 0.4030 0.1632
0.7985 0.5970 0.8368
0.2015 0.4030 0.3368
```

---

Entry 4:
A relaxed structure of Sm4Co2I5, computed with PBE.

Summary:
Energy relative to the lowest polymorph listed for this composition in meV per atom: 0
Formation energy without anion corrections in eV/atom: -0.7672
Space-group type: C2/m

The structure in POSCAR format:
```
Sm4Co2I5
1.0
-0.2145 -2.6480 3.1765
-4.6377 -5.5497 -4.9395
10.3074 -2.5955 -4.1668
Sm Co I
4 2 5
direct
0.6569 0.5731 0.3139
0.0203 0.7036 0.0407
0.3431 0.4269 0.6861
0.9797 0.2964 0.9593
0.5479 0.5061 0.0958
0.4521 0.4939 0.9042
0.1613 0.8471 0.3227
0.8387 0.1529 0.6773
0.1906 0.3260 0.3813
0.5000 0.0000 0.0000
0.8094 0.6740 0.6187
```

---

Entry 5:
A relaxed structure of CdCoBPt2, computed with PBE.

Summary:
Space-group type: P4/mmm
Formation energy in eV per atom: -0.1627

The structure in POSCAR format:
```
CdCoBPt2
1.0
-0.4681 0.6309 -4.1546
-4.2020 -0.1161 0.4558
-0.0429 3.8954 0.5964
B Co Pt Cd
1 1 2 1
direct
0.0000 0.0000 0.0000
0.0000 0.0000 0.5000
0.0000 0.5000 0.0000
0.5000 0.0000 0.0000
0.5000 0.5000 0.5000
```

---

Entry 6:
A relaxed structure of CsInHg2Pd, computed with PBE.

Summary:
Space-group type: P4/mmm
Formation energy in eV per atom: -0.2359

The structure in POSCAR format:
```
CsInHg2Pd
1.0
5.5251 0.0000 0.0000
0.0000 5.5251 0.0000
0.0000 0.0000 5.2508
Cs Hg Pd In
1 2 1 1
direct
0.5000 0.5000 0.5000
0.0000 0.5000 0.0000
0.5000 0.0000 0.0000
0.0000 0.0000 0.0000
0.0000 0.0000 0.5000
```

---

Entry 7:
A relaxed structure of La2ZnPb, computed with PBE.

Summary:
Space-group type: P2_1/m
Formation energy in eV per atom: -0.4351

The structure in POSCAR format:
```
La2ZnPb
1.0
4.4806 0.0000 0.0000
0.0000 6.4514 -0.0276
0.0000 -3.2556 8.5837
La Zn Pb
4 2 2
direct
0.7500 0.2231 0.4134
0.2500 0.7769 0.5866
0.2500 0.7862 0.0555
0.7500 0.2138 0.9445
0.2500 0.3653 0.2145
0.7500 0.6347 0.7855
0.7500 0.6696 0.2927
0.2500 0.3304 0.7073
```

---

Entry 8:
A relaxed structure of MgB2Os, computed with PBE.

Summary:
Space-group type: I4_1/amd
Formation energy in eV per atom: 0.3255

The structure in POSCAR format:
```
MgB2Os
1.0
-0.4833 -3.8389 -1.1635
4.0033 -0.5356 0.1042
1.3175 -4.1801 6.2294
Mg B Os
2 4 2
direct
0.5000 0.5000 0.0000
0.2500 0.7500 0.5000
0.8753 0.1250 0.2500
0.8747 0.6250 0.2500
0.3750 0.1247 0.7500
0.8750 0.1253 0.7500
0.0000 0.0000 0.0000
0.7500 0.2500 0.5000
```

---

Entry 9:
A relaxed structure of InNi2Br, computed with PBE.

Summary:
Energy relative to the lowest polymorph listed for this composition in meV per atom: 356
Formation energy without anion corrections in eV/atom: 0.4039
Space-group type: Cmmm

The structure in POSCAR format:
```
InNi2Br
1.0
4.4725 0.0016 0.0000
-0.0181 4.4724 0.0000
0.0000 0.0000 3.2792
Br In Ni
1 1 2
direct
0.5000 0.0000 0.5000
0.0000 0.5000 0.5000
0.0000 0.0000 0.0000
0.5000 0.5000 0.0000
```

---

Entry 10:
A relaxed structure of Ac3Pr2PaN6, computed with PBE.

Summary:
Formation energy without anion corrections in eV/atom: -1.2981
Space-group type: C2/m

The structure in POSCAR format:
```
Ac3Pr2PaN6
1.0
6.4682 0.0041 0.0032
-3.2290 5.6046 0.0032
-1.0772 -1.8652 6.1823
Ac Pr Pa N
3 2 1 6
direct
0.1678 0.8322 0.5000
0.8322 0.1678 0.5000
0.5000 0.5000 0.5000
0.3334 0.6666 0.0000
0.6666 0.3334 0.0000
0.0000 0.0000 0.0000
0.9274 0.6261 0.7826
0.7711 0.7711 0.2266
0.0726 0.3739 0.2174
0.6261 0.9274 0.7826
0.2289 0.2289 0.7734
0.3739 0.0726 0.2174
```

---

Entry 11:
A relaxed structure of ErBrCl, computed with PBE.

Summary:
Formation energy without anion corrections in eV/atom: -1.6331
Space-group type: P1

The structure in POSCAR format:
```
ErBrCl
1.0
5.9932 -0.0137 -0.3291
1.1213 5.7497 1.3067
0.9422 1.2164 7.5314
Cl Br Er
2 2 2
direct
0.2444 0.8751 0.0148
0.7454 0.6126 0.5369
0.2451 0.1289 0.5029
0.7442 0.3584 0.0487
0.5532 0.8026 0.7758
0.9365 0.1852 0.7758
```

---

Entry 12:
A relaxed structure of Ba2PuIn2Sb4, computed with PBE.

Summary:
Formation energy without anion corrections in eV/atom: -0.6084
Space-group type: C2/m

The structure in POSCAR format:
```
Ba2PuIn2Sb4
1.0
-1.4154 -3.9734 -2.1287
-0.9879 -3.5653 7.3117
-6.4675 5.7011 -1.0980
Ba Pu In Sb
2 1 2 4
direct
0.1276 0.5799 0.2552
0.8724 0.4201 0.7448
0.0000 0.0000 0.0000
0.6623 0.9822 0.3246
0.3377 0.0178 0.6754
0.2052 0.2064 0.4104
0.7948 0.7936 0.5896
0.4940 0.7354 0.9880
0.5060 0.2646 0.0120
```

---

no.,uncorrected energy (eV/atom)
1,-3.82
2,-3.51
3,-2.75
4,-4.48
5,-5.52
6,-2.11
7,-4.14
8,-6.22
9,-3.59
10,-8.08
11,-4.33
12,-5.07